Computed, not measured: a geometry-optimized RbNaCo2Pt structure at the PBE-GGA level of DFT.

Lattice parameters (Å, degrees): 4.634 4.905 4.634 90.00 90.00 90.00
Site moments in Bohr magnetons follow the coordinates.
Positions (direct):
Na1 0.000 0.500 0.000  -0.01
Co1 0.000 0.000 0.500  1.26
Co2 0.500 0.000 0.000  1.61
Rb1 0.000 0.000 0.000  -0.05
Pt1 0.500 0.500 0.500  0.12

Computed properties:
Space-group type: P4/mmm, No. 123
Calculated formation energy (meV/atom): 2027
Calculated volume (Å³ per atom): 21.1
Magnetic moment (μB/f.u.): 2.7

---

Computed, not measured: a geometry-optimized ZrSbTe2Pt structure at the PBE-GGA level of DFT.

Lattice parameters (Å, degrees): 5.309 5.309 5.111 90.00 90.00 90.00
Site moments in Bohr magnetons follow the coordinates.
Positions (direct):
Sb1 0.000 0.000 0.500  -0.03
Te1 0.000 0.500 0.000  -0.03
Te2 0.500 0.000 0.000  -0.03
Zr1 0.500 0.500 0.500  0.44
Pt1 0.000 0.000 0.000  -0.02

Computed properties:
Energy above the most stable polymorph in this dataset (eV/f.u.): 0.00
Space-group type: P4/mmm, No. 123
Raw formation energy (kcal/mol of atoms): 8.44
Calculated volume (Å³ per atom): 28.8
Magnetic moment (μB/f.u.): 0.5

---

Computed, not measured: a geometry-optimized Y3MgN structure at the PBE-GGA level of DFT.

Lattice parameters (Å, degrees): 20.538 6.797 8.492 90.00 154.96 90.00
Positions (direct):
Y1 0.250 0.250 0.750
Y2 0.750 0.750 0.250
Y3 0.250 0.750 0.750
Y4 0.750 0.250 0.250
Y5 0.358 0.500 0.348
Y6 0.642 0.500 0.652
Y7 0.142 0.000 0.152
Y8 0.858 0.000 0.848
Y9 0.500 0.764 0.000
Y10 0.500 0.236 0.000
Y11 0.000 0.264 0.500
Y12 0.000 0.736 0.500
Mg1 0.381 0.000 0.374
Mg2 0.619 0.000 0.626
Mg3 0.119 0.500 0.126
Mg4 0.881 0.500 0.874
N1 0.168 0.500 0.757
N2 0.832 0.500 0.243
N3 0.332 0.000 0.743
N4 0.668 0.000 0.257

Computed properties:
Energy above the most stable polymorph in this dataset (eV/f.u.): 1.02
Space-group type: C2/m, No. 12
Raw formation energy (kcal/mol of atoms): -11.94
Calculated volume (Å³ per atom): 25.1
Magnetic moment (μB/f.u.): 0.0

---

Computed, not measured: a geometry-optimized Cs2CdRhI6 structure at the PBE-GGA level of DFT.

Lattice parameters (Å, degrees): 8.270 8.270 8.245 59.90 59.90 90.00
Positions (direct):
Cs1 0.750 0.250 0.500
Cs2 0.250 0.750 0.500
I1 0.262 0.262 0.475
I2 0.738 0.738 0.525
I3 0.264 0.264 0.000
I4 0.736 0.736 0.000
I5 0.736 0.264 0.000
I6 0.264 0.736 0.000
Rh1 0.500 0.500 0.000
Cd1 0.000 0.000 0.000

Computed properties:
Space-group type: I4/mmm, No. 139
Raw formation energy (kcal/mol of atoms): -17.79
Calculated volume (Å³ per atom): 39.8
Magnetic moment (μB/f.u.): 0.0

---

Computed, not measured: a geometry-optimized Hf3ScI structure at the PBE-GGA level of DFT.

Lattice parameters (Å, degrees): 5.189 5.189 5.189 90.00 90.00 90.00
Positions (direct):
I1 0.000 0.000 0.000
Sc1 0.500 0.500 0.500
Hf1 0.000 0.500 0.000
Hf2 0.000 0.000 0.500
Hf3 0.500 0.000 0.000

Computed properties:
Energy above the most stable polymorph in this dataset (eV/f.u.): 0.00
Space-group type: Pm-3m, No. 221
Raw formation energy (kcal/mol of atoms): 22.50
Calculated volume (Å³ per atom): 27.9
Magnetic moment (μB/f.u.): 0.0

---

Computed, not measured: a geometry-optimized La6MnSi2S14 structure at the PBE-GGA level of DFT.

Lattice parameters (Å, degrees): 10.381 10.381 5.780 90.00 90.00 120.00
Site moments in Bohr magnetons follow the coordinates.
Positions (direct):
La1 0.902 0.690 0.249  -0.02
La2 0.310 0.212 0.249  -0.02
La3 0.788 0.098 0.249  -0.02
La4 0.433 0.977 0.754  -0.02
La5 0.023 0.456 0.754  -0.02
La6 0.544 0.567 0.754  -0.02
Mn1 0.667 0.333 0.491  -4.19
Si1 0.000 0.000 0.833  0.00
Si2 0.333 0.667 0.340  0.00
S1 0.000 0.000 0.469  0.00
S2 0.333 0.667 0.976  0.00
S3 0.826 0.576 0.727  -0.03
S4 0.424 0.250 0.727  -0.03
S5 0.750 0.174 0.727  -0.03
S6 0.505 0.091 0.250  -0.03
S7 0.909 0.414 0.250  -0.03
S8 0.586 0.495 0.250  -0.03
S9 0.783 0.857 0.975  0.00
S10 0.143 0.926 0.975  0.00
S11 0.074 0.217 0.975  0.00
S12 0.551 0.809 0.481  0.00
S13 0.191 0.742 0.481  0.00
S14 0.258 0.449 0.481  0.00

Computed properties:
Space-group type: P3, No. 143
Raw formation energy (kcal/mol of atoms): -39.57
Calculated volume (Å³ per atom): 23.5
Magnetic moment (μB/f.u.): 5.0

---

Computed, not measured: a geometry-optimized YEr3Au structure at the PBE-GGA level of DFT.

Lattice parameters (Å, degrees): 5.158 6.674 8.306 90.03 90.00 90.01
Positions (direct):
Y1 0.376 0.255 0.701
Y2 0.876 0.097 0.201
Er1 0.376 0.401 0.201
Er2 0.376 0.882 0.999
Er3 0.876 0.471 0.499
Er4 0.876 0.951 0.701
Er5 0.876 0.471 0.903
Er6 0.376 0.882 0.403
Au1 0.375 0.683 0.701
Au2 0.876 0.670 0.201

Computed properties:
Space-group type: Pmmn, No. 59
Calculated formation energy (meV/atom): -276
Calculated volume (Å³ per atom): 28.6
Magnetic moment (μB/f.u.): 0.0

---

Computed, not measured: a geometry-optimized Pu2TlS structure at the PBE-GGA level of DFT.

Lattice parameters (Å, degrees): 3.773 3.773 8.891 77.75 77.75 60.00
Site moments in Bohr magnetons follow the coordinates.
Positions (direct):
Tl1 0.500 0.500 0.500  0.03
S1 0.000 0.000 0.000  -0.12
Pu1 0.267 0.267 0.200  5.52
Pu2 0.733 0.733 0.800  5.52

Computed properties:
Energy above the most stable polymorph in this dataset (eV/f.u.): 0.05
Space-group type: R-3m, No. 166
Raw formation energy (kcal/mol of atoms): -16.65
Calculated volume (Å³ per atom): 26.6
Magnetic moment (μB/f.u.): 12.0

---

Computed, not measured: a geometry-optimized RbSc2VNi structure at the PBE-GGA level of DFT.

Lattice parameters (Å, degrees): 4.938 5.868 4.938 90.00 90.00 90.00
Site moments in Bohr magnetons follow the coordinates.
Positions (direct):
Sc1 0.000 0.000 0.500  0.09
Sc2 0.500 0.000 0.000  0.04
Ni1 0.000 0.000 0.000  0.07
Rb1 0.000 0.500 0.000  0.04
V1 0.500 0.500 0.500  3.10

Computed properties:
Space-group type: P4/mmm, No. 123
Calculated formation energy (meV/atom): 932
Calculated volume (Å³ per atom): 28.6
Magnetic moment (μB/f.u.): 4.6